This record from Alexandria via LeMat-Bulk describes NiTe2Mo after structural relaxation. The functional is PBE.

```
data_NiTe2Mo
_cell_length_a 3.921
_cell_length_b 4.899
_cell_length_c 7.877
_cell_angle_alpha 90.00
_cell_angle_beta 90.00
_cell_angle_gamma 90.00
_symmetry_space_group_name_H-M 'I m m m'
_symmetry_Int_Tables_number 71
_symmetry_space_group_name_Hall '-I 2 2'
loop_
_atom_site_label
_atom_site_fract_x
_atom_site_fract_y
_atom_site_fract_z
_atom_site_occupancy
Ni1 0.000 0.000 0.000 1
Te1 0.000 0.500 0.291 1
Mo1 0.000 0.000 0.500 1
```

## Properties
The distance to the lowest polymorph of the same formula comes out at 488 meV per atom. As for the volume: 151.3 Å³/cell. Its raw formation energy is 0.393 eV per atom. The size of the total moment is 0.0 μB/f.u.

=====

This record from Alexandria via LeMat-Bulk describes NiTeMo2 after structural relaxation. The functional is PBE.

```
data_NiTeMo2
_cell_length_a 6.362
_cell_length_b 6.362
_cell_length_c 6.362
_cell_angle_alpha 90.00
_cell_angle_beta 90.00
_cell_angle_gamma 90.00
_symmetry_space_group_name_H-M 'F -4 3 m'
_symmetry_Int_Tables_number 216
_symmetry_space_group_name_Hall 'F -4 2 3'
loop_
_atom_site_label
_atom_site_fract_x
_atom_site_fract_y
_atom_site_fract_z
_atom_site_occupancy
Ni1 0.000 0.000 0.000 1
Te1 0.250 0.250 0.750 1
Mo1 0.000 0.000 0.500 1
Mo2 0.250 0.250 0.250 1
```

## Properties
As for the volume: 257.6 Å³/cell. Its raw formation energy is 0.478 eV per atom. The size of the total moment is 0.0 μB/f.u.